# RuRhW2

RuRhW2 after structural relaxation (PBE, the Alexandria database).

Geometry as POSCAR:
```
RuRhW2
1.0
2.7637 0.0000 0.0000
0.0000 2.7637 0.0000
0.0000 0.0000 7.9500
Ru Rh W
1 1 2
direct
0.0000 0.0000 0.0000
0.5000 0.5000 0.7513
0.0000 0.0000 0.5099
0.5000 0.5000 0.2379
```

Calculated values
N(E_F) ... 0.737 states/eV/atom
Crystal system ... tetragonal
ΔH_f (0 K) ... 54 meV per atom
E ... -10.58 eV per atom
ρ ... 15633 kg/m³
Space group ... No. 99
Distance to the lowest polymorph of the same formula ... 133.5 meV per atom

=====

# NaTb2PtO5

NaTb2PtO5 after structural relaxation (PBE, the Alexandria database).

Geometry as POSCAR:
```
NaTb2PtO5
1.0
6.5781 0.0000 0.0000
0.0000 6.5781 0.0000
0.0000 0.0000 5.8209
Na Tb Pt O
2 4 2 10
direct
0.0000 0.0000 0.0000
0.5000 0.5000 0.0000
0.1759 0.3241 0.5000
0.3241 0.8241 0.5000
0.6759 0.1759 0.5000
0.8241 0.6759 0.5000
0.0000 0.5000 0.0000
0.5000 0.0000 0.0000
0.0000 0.0000 0.5000
0.1373 0.6373 0.2596
0.1373 0.6373 0.7404
0.3627 0.1373 0.2596
0.3627 0.1373 0.7404
0.5000 0.5000 0.5000
0.6373 0.8627 0.2596
0.6373 0.8627 0.7404
0.8627 0.3627 0.2596
0.8627 0.3627 0.7404
```

Calculated values
N(E_F) ... 0.607 states/eV/atom
Crystal system ... tetragonal
Formation energy (no corrections) ... -2290 meV per atom
E ... -6.89 eV per atom
ρ ... 8121 kg/m³
Space group ... No. 127

=====

# AlFeP

AlFeP after structural relaxation (PBE, the Alexandria database).

Geometry as POSCAR:
```
AlFeP
1.0
3.7514 0.0000 0.0000
0.0000 15.4595 0.0000
0.0000 0.0000 2.9599
Al Fe P
4 4 4
direct
0.0000 0.0759 0.2500
0.0000 0.9241 0.7500
0.5000 0.4241 0.7500
0.5000 0.5759 0.2500
0.0000 0.3410 0.2500
0.0000 0.6590 0.7500
0.5000 0.1590 0.7500
0.5000 0.8410 0.2500
0.0000 0.2356 0.7500
0.0000 0.7644 0.2500
0.5000 0.2644 0.2500
0.5000 0.7356 0.7500
```

Calculated values
N(E_F) ... 0.528 states/eV/atom
Crystal system ... orthorhombic
ΔH_f (0 K) ... -65 meV per atom
E ... -5.94 eV per atom
ρ ... 4403 kg/m³
Space group ... No. 63

=====

# BeC

BeC after structural relaxation (PBE, the Alexandria database).

Geometry as POSCAR:
```
BeC
1.0
5.8415 0.0000 0.0000
0.0000 2.5193 0.0000
0.0000 0.0000 3.5062
Be C
4 4
direct
0.1530 0.2500 0.1000
0.3470 0.7500 0.6000
0.6530 0.2500 0.4000
0.8470 0.7500 0.9000
0.0572 0.2500 0.5994
0.4428 0.7500 0.0994
0.5572 0.2500 0.9006
0.9428 0.7500 0.4006
```

Calculated values
N(E_F) ... 0.128 states/eV/atom
Crystal system ... orthorhombic
ΔH_f (0 K) ... 535 meV per atom
E ... -5.94 eV per atom
ρ ... 2706 kg/m³
Space group ... No. 62
Distance to the lowest polymorph of the same formula ... 215.9 meV per atom

=====

# Ca2TaHg

Ca2TaHg after structural relaxation (PBE, the Alexandria database).

Geometry as POSCAR:
```
Ca2TaHg
1.0
5.6698 0.0000 0.0000
0.0000 5.6698 0.0000
0.0000 0.0000 3.2680
Ca Ta Hg
2 1 1
direct
0.0000 0.5000 0.0000
0.5000 0.0000 0.0000
0.0000 0.0000 0.5000
0.5000 0.5000 0.5000
```

Calculated values
N(E_F) ... 1.008 states/eV/atom
Crystal system ... tetragonal
ΔH_f (0 K) ... 460 meV per atom
E ... -3.58 eV per atom
ρ ... 7298 kg/m³
Space group ... No. 123

=====

# BeIr

BeIr after structural relaxation (PBE, the Alexandria database).

Geometry as POSCAR:
```
BeIr
1.0
6.0758 0.0000 0.0000
0.0000 6.0758 0.0000
0.0000 0.0000 6.0758
Be Ir
6 6
direct
0.0000 0.2500 0.5000
0.0000 0.7500 0.5000
0.2500 0.5000 0.0000
0.5000 0.0000 0.2500
0.5000 0.0000 0.7500
0.7500 0.5000 0.0000
0.0000 0.5000 0.2500
0.0000 0.5000 0.7500
0.2500 0.0000 0.5000
0.5000 0.2500 0.0000
0.5000 0.7500 0.0000
0.7500 0.0000 0.5000
```

Calculated values
N(E_F) ... 0.488 states/eV/atom
Crystal system ... cubic
ΔH_f (0 K) ... 916 meV per atom
E ... -5.38 eV per atom
ρ ... 8939 kg/m³
Space group ... No. 223

=====

# Ag2Cl

Ag2Cl after structural relaxation (PBE, the Alexandria database).

Geometry as POSCAR:
```
Ag2Cl
1.0
4.8636 0.0000 0.0000
-2.4318 4.2120 0.0000
0.0000 0.0000 5.9336
Ag Cl
4 2
direct
0.0000 0.0000 0.0000
0.0000 0.0000 0.5000
0.3333 0.6667 0.2500
0.6667 0.3333 0.7500
0.3333 0.6667 0.7500
0.6667 0.3333 0.2500
```

Calculated values
N(E_F) ... 0.589 states/eV/atom
Crystal system ... hexagonal
Formation energy (no corrections) ... 92 meV per atom
E ... -2.42 eV per atom
ρ ... 6863 kg/m³
Space group ... No. 194
Distance to the lowest polymorph of the same formula ... 313.3 meV per atom

=====

# Y2ThPtN4

Y2ThPtN4 after structural relaxation (PBE, the Alexandria database).

Geometry as POSCAR:
```
Y2ThPtN4
1.0
1.7298 -5.8777 0.0000
1.7298 5.8777 0.0000
0.0000 0.0000 11.7632
Y Th Pt N
4 2 2 8
direct
0.1276 0.8724 0.5499
0.1276 0.8724 0.9501
0.8724 0.1276 0.0499
0.8724 0.1276 0.4501
0.3853 0.6147 0.7500
0.6147 0.3853 0.2500
0.3529 0.6471 0.2500
0.6471 0.3529 0.7500
0.0400 0.9600 0.7500
0.2174 0.7826 0.1272
0.2174 0.7826 0.3728
0.5000 0.5000 0.0000
0.5000 0.5000 0.5000
0.7826 0.2174 0.6272
0.7826 0.2174 0.8728
0.9600 0.0400 0.2500
```

Calculated values
N(E_F) ... 0.566 states/eV/atom
Crystal system ... orthorhombic
Formation energy (no corrections) ... -1025 meV per atom
E ... -8.49 eV per atom
ρ ... 9177 kg/m³
Space group ... No. 63

=====

# Cs2RbHgI5

Cs2RbHgI5 after structural relaxation (PBE, the Alexandria database).

Geometry as POSCAR:
```
Cs2RbHgI5
1.0
2.4648 -11.7277 0.0000
2.4648 11.7277 0.0000
0.0000 0.0000 16.7034
Cs Rb Hg I
4 2 2 10
direct
0.1298 0.8702 0.5000
0.1298 0.8702 0.8454
0.8702 0.1298 0.0000
0.8702 0.1298 0.3454
0.1981 0.8019 0.2000
0.8019 0.1981 0.7000
0.4443 0.5557 0.5634
0.5557 0.4443 0.0634
0.0306 0.9694 0.1566
0.2957 0.7043 0.8567
0.3253 0.6747 0.5322
0.3514 0.6486 0.1740
0.4950 0.5050 0.9190
0.5050 0.4950 0.4190
0.6486 0.3514 0.6740
0.6747 0.3253 0.0322
0.7043 0.2957 0.3567
0.9694 0.0306 0.6566
```

Calculated values
Crystal system ... orthorhombic
Formation energy (no corrections) ... -1115 meV per atom
E ... -2.31 eV per atom
ρ ... 4080 kg/m³
Space group ... No. 36

=====

# PmSi4Au12

PmSi4Au12 after structural relaxation (PBE, the Alexandria database).

Geometry as POSCAR:
```
PmSi4Au12
1.0
-4.4204 4.4204 4.4204
4.4204 -4.4204 4.4204
4.4204 4.4204 -4.4204
Pm Si Au
1 4 12
direct
0.0000 0.0000 0.0000
0.0000 0.0000 0.5000
0.0000 0.5000 0.0000
0.5000 0.0000 0.0000
0.5000 0.5000 0.5000
0.1605 0.3388 0.4993
0.1605 0.6612 0.8217
0.1783 0.8395 0.3388
0.3388 0.1783 0.8395
0.3388 0.4993 0.1605
0.4993 0.1605 0.3388
0.5007 0.8395 0.6612
0.6612 0.5007 0.8395
0.6612 0.8217 0.1605
0.8217 0.1605 0.6612
0.8395 0.3388 0.1783
0.8395 0.6612 0.5007
```

Calculated values
N(E_F) ... 0.483 states/eV/atom
Crystal system ... cubic
Formation energy (no corrections) ... -70 meV per atom
E ... -3.94 eV per atom
ρ ... 12597 kg/m³
Space group ... No. 204

=====

# GdTmIr

GdTmIr after structural relaxation (PBE, the Alexandria database).

Geometry as POSCAR:
```
GdTmIr
1.0
4.1081 0.0000 0.0000
-2.0541 3.5577 0.0000
0.0000 0.0000 6.0472
Gd Tm Ir
1 1 1
direct
0.0000 0.0000 0.0000
0.3333 0.6667 0.4645
0.6667 0.3333 0.2403
```

Calculated values
N(E_F) ... 0.761 states/eV/atom
Crystal system ... trigonal
ΔH_f (0 K) ... -559 meV per atom
E ... -9.70 eV per atom
ρ ... 9740 kg/m³
Space group ... No. 156
Distance to the lowest polymorph of the same formula ... 138.4 meV per atom

=====

# CaFe2C2

CaFe2C2 after structural relaxation (PBE, the Alexandria database).

Geometry as POSCAR:
```
CaFe2C2
1.0
3.4891 0.0000 0.0000
0.0000 3.4891 0.0000
0.0000 0.0000 9.8224
Ca Fe C
2 4 4
direct
0.0000 0.0000 0.0000
0.5000 0.5000 0.5000
0.0000 0.5000 0.2500
0.0000 0.5000 0.7500
0.5000 0.0000 0.2500
0.5000 0.0000 0.7500
0.0000 0.0000 0.3291
0.0000 0.0000 0.6709
0.5000 0.5000 0.1709
0.5000 0.5000 0.8291
```

Calculated values
N(E_F) ... 0.704 states/eV/atom
Crystal system ... tetragonal
ΔH_f (0 K) ... -95 meV per atom
E ... -7.57 eV per atom
ρ ... 4882 kg/m³
Space group ... No. 139
Distance to the lowest polymorph of the same formula ... 47.7 meV per atom